Record 1
Compound: CdIrAu3
Source: Alexandria
Functional: GGA-PBEsol
Structure: relaxed

Lattice parameters (Å, degrees): 4.8669 4.8669 4.8669 90.00 90.00 90.00
Last column: nearest neighbours and their distance in Å.
Element x y z (fractional)
Cd 0.0000 0.0000 0.0000  6 Au 2.43
Ir 0.5000 0.5000 0.5000  12 Au 3.44
Au 0.0000 0.0000 0.5000  2 Cd 2.43
Au 0.0000 0.5000 0.0000  2 Cd 2.43
Au 0.5000 0.0000 0.0000  2 Cd 2.43

Symmetry ... Pm-3m (221)
Calculated density ... 12.9 g/cm3

Record 2
Compound: CdIr2Au
Source: Alexandria
Functional: GGA-PBEsol
Structure: relaxed

Lattice parameters (Å, degrees): 5.5277 5.5277 2.7646 104.27 104.27 120.09
Last column: nearest neighbours and their distance in Å.
Element x y z (fractional)
Cd 0.0000 0.0000 0.0000  4 Au 2.76-2.78, 2 Cd 2.76, 4 Ir 2.77
Ir 0.0000 0.5000 0.5000  6 Ir 2.76-2.78, 2 Cd 2.77, 2 Au 2.77
Ir 0.5000 0.0000 0.5000  6 Ir 2.76-2.78, 2 Cd 2.77, 2 Au 2.77
Au 0.5000 0.5000 0.0000  4 Cd 2.76-2.78, 2 Au 2.76, 4 Ir 2.77

Symmetry ... C2/m (12)
Calculated density ... 18.1 g/cm3

Record 3
Compound: CdIr4Au
Source: Alexandria
Functional: GGA-PBEsol
Structure: relaxed

Lattice parameters (Å, degrees): 5.1790 5.1790 5.1790 60.00 60.00 60.00
Last column: nearest neighbours and their distance in Å.
Element x y z (fractional)
Cd 0.0000 0.0000 0.0000  12 Ir 3.04, 4 Au 3.17
Ir 0.3750 0.3750 0.3750  6 Ir 2.59
Ir 0.3750 0.3750 0.8751  6 Ir 2.59
Ir 0.3750 0.8751 0.3750  6 Ir 2.59
Ir 0.8751 0.3750 0.3750  6 Ir 2.59
Au 0.7500 0.7500 0.7500  12 Ir 3.04, 4 Cd 3.17

Symmetry ... F-43m (216)
Calculated density ... 18.2 g/cm3

Record 4
Compound: KCdAu3
Source: Alexandria
Functional: GGA-PBEsol
Structure: relaxed

Lattice parameters (Å, degrees): 5.3367 5.3367 5.3367 90.00 90.00 90.00
Last column: nearest neighbours and their distance in Å.
Element x y z (fractional)
K 0.0000 0.0000 0.0000  6 Au 2.67
Cd 0.5000 0.5000 0.5000  12 Au 3.77
Au 0.0000 0.0000 0.5000  2 K 2.67
Au 0.0000 0.5000 0.0000  2 K 2.67
Au 0.5000 0.0000 0.0000  2 K 2.67

Symmetry ... Pm-3m (221)
Calculated density ... 8.1 g/cm3

Number 1: formation energy from the elements 167.8 kJ per mole of atoms. Number 2: formation energy from the elements 28.8 kJ per mole of atoms. Number 3: formation energy from the elements 49.7 kJ per mole of atoms. Number 4: formation energy from the elements 126.3 kJ per mole of atoms.